First-principles (PBE) data for a relaxed structure of KSn3F6, as listed in Alexandria.

Computed properties:
Crystal system = monoclinic
Energy relative to the elements, uncorrected = -2.1627 eV per atom
DOS(E_F) = 0.95 states/eV/f.u.
ρ = 4.05 g/cm³
Calculated total energy = -4.596 eV/atom
Symmetry = No. 11
Total moment = 0.0 μB per cell

abc: 10.6582 3.5884 11.9726
angles: 90.00 114.29 90.00
With the nearest neighbours (Å) after each atom.
Positions (direct):
K (0.1869, 0.2500, 0.0465)  7 F 2.63-2.84
K (0.8131, 0.7500, 0.9535)  7 F 2.63-2.84
Sn (0.0063, 0.7500, 0.2801)  1 F 2.10
Sn (0.4115, 0.2500, 0.3888)  2 F 2.27-2.35
Sn (0.4218, 0.7500, 0.8384)  3 F 2.11-2.26
Sn (0.5782, 0.2500, 0.1616)  3 F 2.11-2.26
Sn (0.5885, 0.7500, 0.6112)  2 F 2.27-2.35
Sn (0.9937, 0.2500, 0.7199)  1 F 2.10
F (0.0767, 0.7500, 0.1396)  1 Sn 2.10
F (0.1150, 0.7500, 0.8460)  2 Sn 2.36
F (0.1772, 0.2500, 0.3502)  3 Sn 2.35-2.45
F (0.2819, 0.2500, 0.7691)  2 Sn 2.26
F (0.4009, 0.7500, 0.6550)  2 Sn 2.11-2.27
F (0.4104, 0.7500, 0.1523)  2 Sn 2.50
F (0.5896, 0.2500, 0.8477)  2 Sn 2.50
F (0.5991, 0.2500, 0.3450)  2 Sn 2.11-2.27
F (0.7181, 0.7500, 0.2309)  2 Sn 2.26
F (0.8228, 0.7500, 0.6498)  3 Sn 2.35-2.45
F (0.8850, 0.2500, 0.1540)  2 Sn 2.36
F (0.9233, 0.2500, 0.8604)  1 Sn 2.10

First-principles (PBE) data for a relaxed structure of KSn2F, as listed in Alexandria.

Computed properties:
Crystal system = cubic
Energy relative to the elements, uncorrected = -0.1715 eV per atom
DOS(E_F) = 2.84 states/eV/f.u.
ρ = 4.60 g/cm³
Calculated total energy = -2.915 eV/atom
Symmetry = No. 225
Total moment = 0.0 μB per cell
Distance to the lowest polymorph of the same formula = 10.70 kcal/mol of atoms

abc: 5.3228 5.3228 5.3228
angles: 60.00 60.00 60.00
With the nearest neighbours (Å) after each atom.
Positions (direct):
K (0.0000, 0.0000, 0.0000)  8 Sn 3.26
Sn (0.2500, 0.2500, 0.2500)  4 F 3.26, 4 K 3.26
Sn (0.7500, 0.7500, 0.7500)  4 K 3.26, 4 F 3.26
F (0.5000, 0.5000, 0.5000)  8 Sn 3.26

First-principles (PBE) data for a relaxed structure of K3SnF, as listed in Alexandria.

Computed properties:
Crystal system = cubic
Energy relative to the elements, uncorrected = -1.0673 eV per atom
DOS(E_F) = 3.75 states/eV/f.u.
ρ = 2.59 g/cm³
Calculated total energy = -2.901 eV/atom
Symmetry = No. 221
Total moment = 0.0 μB per cell
Distance to the lowest polymorph of the same formula = 0.00 kcal/mol of atoms

abc: 5.4688 5.4688 5.4688
angles: 90.00 90.00 90.00
With the nearest neighbours (Å) after each atom.
Positions (direct):
K (0.0000, 0.0000, 0.5000)  2 F 2.73
K (0.0000, 0.5000, 0.0000)  2 F 2.73
K (0.5000, 0.0000, 0.0000)  2 F 2.73
Sn (0.5000, 0.5000, 0.5000)  12 K 3.87
F (0.0000, 0.0000, 0.0000)  6 K 2.73

First-principles (PBE) data for a relaxed structure of K2SnF6, as listed in Alexandria.

Computed properties:
Crystal system = cubic
Energy relative to the elements, uncorrected = -2.7144 eV per atom
DOS(E_F) = 0.00 states/eV/f.u.
ρ = 3.19 g/cm³
Calculated total energy = -4.651 eV/atom
Symmetry = No. 225
Total moment = 0.0 μB per cell

abc: 6.1149 6.1149 6.1149
angles: 60.00 60.00 60.00
With the nearest neighbours (Å) after each atom.
Positions (direct):
K (0.2500, 0.2500, 0.2500)  12 F 3.06
K (0.7500, 0.7500, 0.7500)  12 F 3.06
Sn (0.0000, 0.0000, 0.0000)  6 F 2.00
F (0.2313, 0.2313, 0.7687)  1 Sn 2.00
F (0.2313, 0.7687, 0.2313)  1 Sn 2.00
F (0.2313, 0.7687, 0.7687)  1 Sn 2.00
F (0.7687, 0.2313, 0.2313)  1 Sn 2.00
F (0.7687, 0.2313, 0.7687)  1 Sn 2.00
F (0.7687, 0.7687, 0.2313)  1 Sn 2.00

First-principles (PBE) data for a relaxed structure of K2SnF4, as listed in Alexandria.

Computed properties:
Crystal system = monoclinic
Energy relative to the elements, uncorrected = -2.5088 eV per atom
DOS(E_F) = 0.00 states/eV/f.u.
ρ = 3.29 g/cm³
Calculated total energy = -4.463 eV/atom
Symmetry = No. 12
Total moment = 0.0 μB per cell
Distance to the lowest polymorph of the same formula = 1.22 kcal/mol of atoms

abc: 6.5137 6.5137 7.2361
angles: 120.53 120.53 31.91
With the nearest neighbours (Å) after each atom.
Positions (direct):
K (0.1485, 0.1485, 0.1860)  7 F 2.73-2.88
K (0.8515, 0.8515, 0.8140)  7 F 2.73-2.88
Sn (0.5000, 0.5000, 0.5000)  6 F 2.31-2.50
F (0.1592, 0.1592, 0.5839)  2 Sn 2.50, 2 K 2.75
F (0.4583, 0.4583, 0.1488)  1 Sn 2.31
F (0.5417, 0.5417, 0.8512)  1 Sn 2.31
F (0.8408, 0.8408, 0.4161)  2 Sn 2.50, 2 K 2.75

First-principles (PBE) data for a relaxed structure of K2SnF6, as listed in Alexandria.

Computed properties:
Crystal system = trigonal
Energy relative to the elements, uncorrected = -2.7457 eV per atom
DOS(E_F) = 0.00 states/eV/f.u.
ρ = 3.49 g/cm³
Calculated total energy = -4.682 eV/atom
Symmetry = No. 164
Total moment = 0.0 μB per cell

abc: 5.9813 5.9813 4.7699
angles: 90.00 90.00 120.00
With the nearest neighbours (Å) after each atom.
Positions (direct):
K (0.3333, 0.6667, 0.1925)  12 F 2.83-3.12
K (0.6667, 0.3333, 0.8075)  12 F 2.83-3.12
Sn (0.0000, 0.0000, 0.5000)  6 F 2.01
F (0.1620, 0.3240, 0.7302)  1 Sn 2.01
F (0.1620, 0.8380, 0.7302)  1 Sn 2.01
F (0.3240, 0.1620, 0.2698)  1 Sn 2.01
F (0.6760, 0.8380, 0.7302)  1 Sn 2.01
F (0.8380, 0.1620, 0.2698)  1 Sn 2.01
F (0.8380, 0.6760, 0.2698)  1 Sn 2.01

First-principles (PBE) data for a relaxed structure of K2SnF, as listed in Alexandria.

Computed properties:
Crystal system = cubic
Energy relative to the elements, uncorrected = -0.6835 eV per atom
DOS(E_F) = 0.00 states/eV/f.u.
ρ = 2.55 g/cm³
Calculated total energy = -2.701 eV/atom
Symmetry = No. 225
Total moment = 3.0 μB per cell
Distance to the lowest polymorph of the same formula = 11.64 kcal/mol of atoms

abc: 5.8396 5.8396 5.8396
angles: 60.00 60.00 60.00
With the nearest neighbours (Å) after each atom.
Positions (direct):
K (0.2500, 0.2500, 0.2500)  4 F 3.58, 4 Sn 3.58
K (0.7500, 0.7500, 0.7500)  4 F 3.58, 4 Sn 3.58
Sn (0.0000, 0.0000, 0.0000)  8 K 3.58
F (0.5000, 0.5000, 0.5000)  8 K 3.58

First-principles (PBE) data for a relaxed structure of KSn2F8, as listed in Alexandria.

Computed properties:
Crystal system = triclinic
Energy relative to the elements, uncorrected = -2.4522 eV per atom
DOS(E_F) = 0.46 states/eV/f.u.
ρ = 3.67 g/cm³
Calculated total energy = -4.641 eV/atom
Symmetry = No. 2
Total moment = 0.0 μB per cell
Distance to the lowest polymorph of the same formula = 0.00 kcal/mol of atoms

abc: 4.1917 6.9012 7.4212
angles: 71.18 76.14 76.04
With the nearest neighbours (Å) after each atom.
Positions (direct):
K (0.0000, 0.0000, 0.0000)  4 F 2.55-2.77
Sn (0.1425, 0.3968, 0.2985)  6 F 1.99-2.23
Sn (0.8575, 0.6032, 0.7015)  6 F 1.99-2.23
F (0.0378, 0.3140, 0.6073)  2 Sn 2.14-2.23
F (0.1844, 0.6101, 0.0430)  1 Sn 1.99
F (0.2929, 0.1267, 0.2306)  1 Sn 2.00
F (0.3718, 0.6094, 0.6628)  2 Sn 2.11
F (0.6282, 0.3906, 0.3372)  2 Sn 2.11
F (0.7071, 0.8733, 0.7694)  1 Sn 2.00
F (0.8156, 0.3899, 0.9570)  1 Sn 1.99
F (0.9622, 0.6860, 0.3927)  2 Sn 2.14-2.23

First-principles (PBE) data for a relaxed structure of K2SnF4, as listed in Alexandria.

Computed properties:
Crystal system = tetragonal
Energy relative to the elements, uncorrected = -2.4923 eV per atom
DOS(E_F) = 0.00 states/eV/f.u.
ρ = 2.97 g/cm³
Calculated total energy = -4.447 eV/atom
Symmetry = No. 139
Total moment = 0.0 μB per cell
Distance to the lowest polymorph of the same formula = 1.60 kcal/mol of atoms

abc: 7.6157 7.6157 7.6157
angles: 143.86 143.86 52.04
With the nearest neighbours (Å) after each atom.
Positions (direct):
K (0.1447, 0.1447, 0.0000)  1 F 2.52
K (0.8553, 0.8553, 0.0000)  1 F 2.52
Sn (0.5000, 0.5000, 0.0000)  6 F 2.35-2.36
F (0.0000, 0.5000, 0.5000)  2 Sn 2.36
F (0.3285, 0.3285, 0.0000)  1 Sn 2.35, 1 K 2.52
F (0.5000, 0.0000, 0.5000)  2 Sn 2.36
F (0.6715, 0.6715, 0.0000)  1 Sn 2.35, 1 K 2.52

First-principles (PBE) data for a relaxed structure of KSn2F, as listed in Alexandria.

Computed properties:
Crystal system = tetragonal
Energy relative to the elements, uncorrected = -0.6354 eV per atom
DOS(E_F) = 1.98 states/eV/f.u.
ρ = 3.42 g/cm³
Calculated total energy = -3.379 eV/atom
Symmetry = No. 141
Total moment = 0.0 μB per cell
Distance to the lowest polymorph of the same formula = 0.00 kcal/mol of atoms

abc: 9.1937 9.1937 9.1937
angles: 142.42 142.42 54.20
With the nearest neighbours (Å) after each atom.
Positions (direct):
K (0.3750, 0.6250, 0.7500)  8 Sn 3.89, 4 F 4.19
K (0.6250, 0.3750, 0.2500)  8 Sn 3.89, 4 F 4.19
Sn (0.0000, 0.0000, 0.0000)  2 F 2.53
Sn (0.0000, 0.0000, 0.5000)  2 F 2.53
Sn (0.0000, 0.5000, 0.0000)  2 F 2.53
Sn (0.5000, 0.0000, 0.5000)  2 F 2.53
F (0.1250, 0.8750, 0.2500)  4 Sn 2.53
F (0.8750, 0.1250, 0.7500)  4 Sn 2.53

First-principles (PBE) data for a relaxed structure of KSn3F, as listed in Alexandria.

Computed properties:
Crystal system = cubic
Energy relative to the elements, uncorrected = 0.9018 eV per atom
DOS(E_F) = 10.46 states/eV/f.u.
ρ = 3.09 g/cm³
Calculated total energy = -2.094 eV/atom
Symmetry = No. 221
Total moment = 0.5 μB per cell
Distance to the lowest polymorph of the same formula = 30.34 kcal/mol of atoms

abc: 6.0636 6.0636 6.0636
angles: 90.00 90.00 90.00
With the nearest neighbours (Å) after each atom.
Positions (direct):
K (0.0000, 0.0000, 0.0000)  6 Sn 3.03
Sn (0.0000, 0.0000, 0.5000)  2 K 3.03
Sn (0.0000, 0.5000, 0.0000)  2 K 3.03
Sn (0.5000, 0.0000, 0.0000)  2 K 3.03
F (0.5000, 0.5000, 0.5000)  12 Sn 4.29

First-principles (PBE) data for a relaxed structure of K2SnF, as listed in Alexandria.

Computed properties:
Crystal system = tetragonal
Energy relative to the elements, uncorrected = -1.1324 eV per atom
DOS(E_F) = 0.53 states/eV/f.u.
ρ = 2.56 g/cm³
Calculated total energy = -3.150 eV/atom
Symmetry = No. 122
Total moment = 0.0 μB per cell
Distance to the lowest polymorph of the same formula = 1.28 kcal/mol of atoms

abc: 7.2068 7.2068 7.2068
angles: 115.17 115.17 98.59
With the nearest neighbours (Å) after each atom.
Positions (direct):
K (0.0047, 0.6250, 0.8797)  2 F 2.47
K (0.3750, 0.2547, 0.3797)  2 F 2.47
K (0.7453, 0.1250, 0.1203)  2 F 2.47
K (0.8750, 0.9953, 0.6203)  2 F 2.47
Sn (0.2500, 0.7500, 0.5000)  4 K 3.65
Sn (0.5000, 0.5000, 0.0000)  4 K 3.65
F (0.0000, 0.0000, 0.0000)  4 K 2.47
F (0.7500, 0.2500, 0.5000)  4 K 2.47